Entry 1:
A plane-wave DFT calculation with GGA-PBEsol was carried out for an optimized crystal structure of Sc2InB.

```
4
Lattice="-0.965 3.081 -0.337 -3.099 0.662 -0.705 -3.380 1.626 8.916" Properties=species:S:1:pos:R:3 pbc="T T T"
B 0.000 0.000 0.000
Sc -2.880 1.533 6.628
Sc -4.565 3.837 1.246
In -3.722 2.685 3.937
```

## Properties
Energy ... -20.24 eV for the cell shown
Total moment ... 0.15 μB per atom
Formation enthalpy at 0 K ... 742 meV per atom

---

Entry 2:
A plane-wave DFT calculation with GGA-PBEsol was carried out for an optimized crystal structure of Sc3InB.

```
5
Lattice="-0.424 0.009 4.619 1.551 -4.368 0.151 4.350 1.559 0.396" Properties=species:S:1:pos:R:3 pbc="T T T"
Sc 2.175 0.779 0.198
Sc 0.776 -2.184 0.075
Sc -0.212 0.004 2.309
B 0.000 0.000 0.000
In 2.739 -1.400 2.583
```

## Properties
Energy ... -31.91 eV for the cell shown
Total moment ... 0.00 μB per atom
Formation enthalpy at 0 K ... -419 meV per atom